Computed, not measured: an optimized crystal structure of BiMoAu2C at the GGA-PBE level of DFT.

Cell lengths 5.393, 5.393, 4.460 Å; angles 90.00, 90.00, 90.00 degrees
Atoms (fractional coordinates):
Bi (0.000, 0.000, 0.000)
Mo (0.500, 0.500, 0.500)
Au (0.000, 0.500, 0.000)
Au (0.500, 0.000, 0.000)
C (0.000, 0.000, 0.500)

Computed properties:
Density of states at the Fermi level   0.441 states/eV/atom
Calculated formation energy   2115 meV per atom
SG   P4/mmm

***

Computed, not measured: an optimized crystal structure of Nb2BiAuC at the GGA-PBE level of DFT.

Cell lengths 5.343, 5.343, 4.308 Å; angles 90.00, 90.00, 90.00 degrees
Atoms (fractional coordinates):
Nb (0.000, 0.500, 0.000)
Nb (0.500, 0.000, 0.000)
Bi (0.000, 0.000, 0.000)
Au (0.500, 0.500, 0.500)
C (0.000, 0.000, 0.500)

Computed properties:
Density of states at the Fermi level   1.222 states/eV/atom
Calculated formation energy   2400 meV per atom
SG   P4/mmm

***

Computed, not measured: an optimized crystal structure of BiPbAu2C at the GGA-PBE level of DFT.

Cell lengths 5.266, 5.266, 6.105 Å; angles 90.00, 90.00, 90.00 degrees
Atoms (fractional coordinates):
Bi (0.000, 0.000, 0.000)
Pb (0.000, 0.000, 0.500)
Au (0.000, 0.500, 0.500)
Au (0.500, 0.000, 0.500)
C (0.500, 0.500, 0.000)

Computed properties:
Density of states at the Fermi level   1.024 states/eV/atom
Calculated formation energy   1978 meV per atom
SG   P4/mmm

***

Computed, not measured: an optimized crystal structure of SnBiAu2C at the GGA-PBE level of DFT.

Cell lengths 5.130, 5.130, 6.007 Å; angles 90.00, 90.00, 90.00 degrees
Atoms (fractional coordinates):
Sn (0.000, 0.000, 0.000)
Bi (0.000, 0.000, 0.500)
Au (0.000, 0.500, 0.000)
Au (0.500, 0.000, 0.000)
C (0.500, 0.500, 0.500)

Computed properties:
Density of states at the Fermi level   1.068 states/eV/atom
Calculated formation energy   1811 meV per atom
SG   P4/mmm

***

Computed, not measured: an optimized crystal structure of Th3BiAuC at the GGA-PBE level of DFT.

Cell lengths 8.945, 4.038, 9.273 Å; angles 90.00, 108.70, 90.00 degrees
Atoms (fractional coordinates):
Th (0.062, 0.250, 0.372)
Th (0.169, 0.250, 0.941)
Th (0.353, 0.750, 0.692)
Th (0.647, 0.250, 0.308)
Th (0.831, 0.750, 0.059)
Th (0.938, 0.750, 0.628)
Bi (0.332, 0.750, 0.317)
Bi (0.668, 0.250, 0.683)
Au (0.428, 0.750, 0.052)
Au (0.572, 0.250, 0.948)
C (0.143, 0.250, 0.666)
C (0.857, 0.750, 0.334)

Computed properties:
Density of states at the Fermi level   0.678 states/eV/atom
Calculated formation energy   -416 meV per atom
SG   P2_1/m

***

Computed, not measured: an optimized crystal structure of Tl2BiAuC at the GGA-PBE level of DFT.

Cell lengths 5.546, 5.546, 5.623 Å; angles 90.00, 90.00, 90.00 degrees
Atoms (fractional coordinates):
Tl (0.000, 0.500, 0.000)
Tl (0.500, 0.000, 0.000)
Bi (0.000, 0.000, 0.500)
Au (0.000, 0.000, 0.000)
C (0.500, 0.500, 0.500)

Computed properties:
Density of states at the Fermi level   0.488 states/eV/atom
Calculated formation energy   1509 meV per atom
SG   P4/mmm

***

Number 1: volume 130 Å³/f.u.. Number 2: volume 123 Å³/f.u.. Number 3: volume 169 Å³/f.u.. Number 4: volume 158 Å³/f.u.. Number 5: volume 159 Å³/f.u.. Number 6: volume 173 Å³/f.u..